(1)
TeSe after structural relaxation, computed with PBE-GGA.

a b c (Å): 5.1712 4.3624 5.1863
angles (deg): 90.00 109.84 90.00
Closest atoms and distances in Å follow each position.
Positions (direct):
Te: 0.1289 0.2500 0.3710  4 Se 2.98-3.02, 2 Te 3.09
Te: 0.8711 0.7500 0.6290  4 Se 2.98-3.02, 2 Te 3.09
Se: 0.3752 0.7500 0.1251  4 Te 2.98-3.02, 2 Se 3.04
Se: 0.6248 0.2500 0.8749  4 Te 2.98-3.02, 2 Se 3.04

Results
For the size of the total moment, the calculation gives 0.000 μB/f.u. As for the symmetry: P2_1/m (11). The uncorrected formation energy is 82 meV/atom.


(2)
CoPdI2N after structural relaxation, computed with PBE-GGA.

a b c (Å): 5.6614 5.6614 3.7406
angles (deg): 90.00 90.00 90.00
Closest atoms and distances in Å follow each position.
Positions (direct):
Co: 0.0000 0.0000 0.0000  8 I 3.39, 2 Co 3.74
Pd: 0.5000 0.5000 0.5000  2 N 1.87
I: 0.0000 0.5000 0.5000  2 Pd 2.83
I: 0.5000 0.0000 0.5000  2 Pd 2.83
N: 0.5000 0.5000 0.0000  2 Pd 1.87

Results
For the size of the total moment, the calculation gives 2.277 μB/f.u. As for the symmetry: P4/mmm (123). The uncorrected formation energy is 1081 meV/atom.


(3)
Ca4LaY3Te8 after structural relaxation, computed with PBE-GGA.

a b c (Å): 8.9831 8.9831 8.9831
angles (deg): 59.05 59.05 59.05
Closest atoms and distances in Å follow each position.
Positions (direct):
Ca: 0.0000 0.0000 0.0000  6 Te 3.10
Ca: 0.0000 0.5000 0.5000  6 Te 3.18
Ca: 0.5000 0.0000 0.5000  6 Te 3.18
Ca: 0.5000 0.5000 0.0000  6 Te 3.18
La: 0.5000 0.5000 0.5000  6 Te 3.20
Y: 0.0000 0.0000 0.5000  6 Te 3.13
Y: 0.0000 0.5000 0.0000  6 Te 3.13
Y: 0.5000 0.0000 0.0000  6 Te 3.13
Te: 0.2425 0.7540 0.7540  3 Ca 3.10-3.18, 2 Y 3.13, 1 La 3.20
Te: 0.2460 0.2460 0.7575  3 Ca 3.10-3.18, 2 Y 3.13, 1 La 3.20
Te: 0.2460 0.7575 0.2460  3 Ca 3.10-3.18, 2 Y 3.13, 1 La 3.20
Te: 0.2483 0.2483 0.2483  3 Y 3.13, 3 Ca 3.18
Te: 0.7517 0.7517 0.7517  3 Y 3.13, 3 Ca 3.18
Te: 0.7540 0.2425 0.7540  3 Ca 3.10-3.18, 2 Y 3.13, 1 La 3.20
Te: 0.7540 0.7540 0.2425  3 Ca 3.10-3.18, 2 Y 3.13, 1 La 3.20
Te: 0.7575 0.2460 0.2460  3 Ca 3.10-3.18, 2 Y 3.13, 1 La 3.20

Results
For the size of the total moment, the calculation gives 0.000 μB/f.u. As for the symmetry: R-3m (166). The uncorrected formation energy is -1495 meV/atom.


(4)
AlTc2Os after structural relaxation, computed with PBE-GGA.

a b c (Å): 5.6405 5.6405 5.6405
angles (deg): 102.06 102.06 125.59
Closest atoms and distances in Å follow each position.
Positions (direct):
Al: 0.0000 0.0000 0.0000  2 Os 2.58, 4 Tc 2.70
Al: 0.7500 0.2500 0.5000  2 Os 2.58, 4 Tc 2.70
Tc: 0.1480 0.1250 0.5230  2 Os 2.48, 2 Tc 2.60, 2 Al 2.70
Tc: 0.3750 0.8520 0.9770  2 Os 2.48, 2 Tc 2.60, 2 Al 2.70
Tc: 0.6020 0.6250 0.4770  2 Os 2.48, 2 Tc 2.60, 2 Al 2.70
Tc: 0.8750 0.3980 0.0230  2 Os 2.48, 2 Tc 2.60, 2 Al 2.70
Os: 0.2500 0.7500 0.5000  4 Tc 2.48, 2 Al 2.58
Os: 0.5000 0.5000 0.0000  4 Tc 2.48, 2 Al 2.58

Results
For the size of the total moment, the calculation gives 0.000 μB/f.u. As for the symmetry: I-42d (122). For the energy of formation, the calculation gives 2.37 eV/f.u.


(5)
CaSb3P3O13 after structural relaxation, computed with PBE-GGA.

a b c (Å): 8.4255 6.9718 11.1321
angles (deg): 90.00 105.17 90.00
Closest atoms and distances in Å follow each position.
Positions (direct):
Ca: 0.1164 0.2500 0.1962  1 O 2.22
Ca: 0.8836 0.7500 0.8038  1 O 2.22
Sb: 0.1531 0.2500 0.7535  2 O 1.98-2.09
Sb: 0.2524 0.7500 0.4288  3 O 2.02-2.22
Sb: 0.5000 0.0000 0.0000  6 O 2.26-2.32
Sb: 0.5000 0.5000 0.0000  6 O 2.26-2.32
Sb: 0.7476 0.2500 0.5712  3 O 2.02-2.22
Sb: 0.8469 0.7500 0.2465  2 O 1.98-2.09
P: 0.1933 0.7500 0.0945  4 O 1.53-1.57
P: 0.2468 0.7500 0.7465  4 O 1.52-1.58
P: 0.3213 0.2500 0.4875  4 O 1.55-1.56
P: 0.6787 0.7500 0.5125  4 O 1.55-1.56
P: 0.7532 0.2500 0.2535  4 O 1.52-1.58
P: 0.8067 0.2500 0.9055  4 O 1.53-1.57
O: 0.0218 0.7500 0.0036  1 P 1.53
O: 0.1335 0.5755 0.7531  1 P 1.56
O: 0.1335 0.9245 0.7531  1 P 1.56
O: 0.1736 0.7500 0.2307  1 P 1.57
O: 0.2222 0.2500 0.5868  1 P 1.55
O: 0.2731 0.0751 0.3985  1 P 1.56
O: 0.2731 0.4249 0.3985  1 P 1.56
O: 0.2870 0.5602 0.0830  1 P 1.56
O: 0.2870 0.9398 0.0830  1 P 1.56
O: 0.3208 0.7500 0.6353  1 P 1.52
O: 0.3668 0.2500 0.8814  1 Sb 1.98
O: 0.3994 0.7500 0.8641  1 P 1.58
O: 0.4946 0.7500 0.4384  1 P 1.55
O: 0.5054 0.2500 0.5616  1 P 1.55
O: 0.6006 0.2500 0.1359  1 P 1.58
O: 0.6332 0.7500 0.1186  1 Sb 1.98
O: 0.6792 0.2500 0.3647  1 P 1.52
O: 0.7130 0.0602 0.9170  1 P 1.56
O: 0.7130 0.4398 0.9170  1 P 1.56
O: 0.7269 0.5751 0.6015  1 P 1.56
O: 0.7269 0.9249 0.6015  1 P 1.56
O: 0.7778 0.7500 0.4132  1 P 1.55
O: 0.8264 0.2500 0.7693  1 P 1.57
O: 0.8665 0.0755 0.2469  1 P 1.56
O: 0.8665 0.4245 0.2469  1 P 1.56
O: 0.9782 0.2500 0.9964  1 P 1.53

Results
For the size of the total moment, the calculation gives 0.000 μB/f.u. As for the symmetry: P2_1/m (11). The uncorrected formation energy is -1969 meV/atom.


(6)
InCoSe after structural relaxation, computed with PBE-GGA.

a b c (Å): 6.7879 6.7879 6.7879
angles (deg): 154.01 154.01 37.08
Closest atoms and distances in Å follow each position.
Positions (direct):
In: 0.0000 0.0000 0.0000  4 In 3.05, 4 Co 3.06, 1 Se 3.17
Co: 0.6685 0.6685 0.0000  4 Se 2.38
Se: 0.2466 0.2466 0.0000  4 Co 2.38

Results
For the size of the total moment, the calculation gives 0.001 μB/f.u. As for the symmetry: I4mm (107). The uncorrected formation energy is 37 meV/atom.